Record 1
# NiS

An optimized crystal structure of NiS (PBE-GGA, the Open Quantum Materials Database).

Computed properties:
mass density: 4.83 g cm⁻³
DFT total energy: -5.168 eV per atom
V: 15.6 Å³/atom

a = 3.297 Å, b = 3.297 Å, c = 5.783 Å
α = 91.91°, β = 91.91°, γ = 83.50°
Sites, in units of the cell vectors:
S 0.483 0.517 0.250
S 0.517 0.483 0.750
Ni 0.500 0.000 0.000
Ni 0.000 0.500 0.500

=====

Record 2
# Hf2Cd3W4N3

An optimized crystal structure of Hf2Cd3W4N3 (PBE-GGA, the Open Quantum Materials Database).

Computed properties:
mass density: 13.40 g cm⁻³
DFT total energy: -8.469 eV per atom
V: 15.2 Å³/atom

a = 5.482 Å, b = 5.482 Å, c = 14.287 Å
α = 79.29°, β = 79.29°, γ = 60.46°
Sites, in units of the cell vectors:
N 0.650 0.202 0.000
N 0.000 0.500 0.000
N 0.500 0.000 0.500
N 0.798 0.350 0.500
N 0.350 0.798 0.000
N 0.202 0.650 0.500
W 0.693 0.872 0.927
W 0.872 0.693 0.427
W 0.956 0.825 0.073
W 0.128 0.307 0.573
W 0.175 0.044 0.427
W 0.307 0.128 0.073
W 0.044 0.175 0.927
W 0.825 0.956 0.573
Cd 0.421 0.178 0.746
Cd 0.822 0.579 0.754
Cd 0.178 0.421 0.246
Cd 0.986 0.014 0.250
Cd 0.014 0.986 0.750
Cd 0.579 0.822 0.254
Hf 0.529 0.359 0.403
Hf 0.641 0.471 0.097
Hf 0.471 0.641 0.597
Hf 0.359 0.529 0.903

=====

Record 3
# RbTbZrTe3

An optimized crystal structure of RbTbZrTe3 (PBE-GGA, the Open Quantum Materials Database).

Computed properties:
mass density: 5.42 g cm⁻³
DFT total energy: -4.971 eV per atom
V: 36.7 Å³/atom

a = 8.683 Å, b = 8.683 Å, c = 11.500 Å
α = 90.00°, β = 90.00°, γ = 149.46°
Site moments in Bohr magnetons follow the coordinates.
Sites, in units of the cell vectors:
Tb 0.000 0.000 0.500  0.04
Tb 0.000 0.000 0.000  0.04
Rb 0.751 0.249 0.750  0.00
Rb 0.249 0.751 0.250  0.00
Te 0.075 0.925 0.750  0.00
Te 0.925 0.075 0.250  0.00
Te 0.624 0.376 0.051  0.00
Te 0.376 0.624 0.949  0.00
Te 0.376 0.624 0.551  0.00
Te 0.624 0.376 0.449  0.00
Zr 0.526 0.474 0.250  0.14
Zr 0.474 0.526 0.750  0.14

=====

Record 4
# InTe2WAuS

An optimized crystal structure of InTe2WAuS (PBE-GGA, the Open Quantum Materials Database).

Computed properties:
mass density: 9.16 g cm⁻³
DFT total energy: -4.703 eV per atom
V: 23.7 Å³/atom

a = 8.321 Å, b = 8.321 Å, c = 9.706 Å
α = 90.00°, β = 90.00°, γ = 155.02°
Sites, in units of the cell vectors:
Au 0.036 0.964 0.250
Au 0.964 0.036 0.750
Te 0.866 0.134 0.529
Te 0.866 0.134 0.971
Te 0.134 0.866 0.471
Te 0.134 0.866 0.029
W 0.500 0.500 0.000
W 0.500 0.500 0.500
S 0.571 0.429 0.750
S 0.429 0.571 0.250
In 0.757 0.243 0.250
In 0.243 0.757 0.750

=====

Record 5
# NaDyPO

An optimized crystal structure of NaDyPO (PBE-GGA, the Open Quantum Materials Database).

Computed properties:
mass density: 5.16 g cm⁻³
DFT total energy: -5.687 eV per atom
V: 18.7 Å³/atom

a = 3.854 Å, b = 3.854 Å, c = 10.066 Å
α = 90.00°, β = 90.00°, γ = 90.00°
Sites, in units of the cell vectors:
O 0.750 0.250 0.000
O 0.250 0.750 0.000
Na 0.250 0.750 0.500
Na 0.750 0.250 0.500
Dy 0.250 0.250 0.112
Dy 0.750 0.750 0.888
P 0.250 0.250 0.708
P 0.750 0.750 0.292

=====

Record 6
# Tb3YPb2N2

An optimized crystal structure of Tb3YPb2N2 (PBE-GGA, the Open Quantum Materials Database).

Computed properties:
mass density: 9.70 g cm⁻³
DFT total energy: -6.646 eV per atom
V: 21.6 Å³/atom

a = 3.564 Å, b = 3.564 Å, c = 15.696 Å
α = 90.00°, β = 90.00°, γ = 120.00°
Sites, in units of the cell vectors:
Pb 0.000 0.000 0.250
Pb 0.667 0.333 0.750
Tb 0.667 0.333 0.417
Tb 0.667 0.333 0.083
Tb 0.000 0.000 0.584
Y 0.000 0.000 0.917
N 0.333 0.667 0.000
N 0.333 0.667 0.500

=====

Record 7
# TmAgTe2PbSe

An optimized crystal structure of TmAgTe2PbSe (PBE-GGA, the Open Quantum Materials Database).

Computed properties:
mass density: 8.15 g cm⁻³
DFT total energy: -4.239 eV per atom
V: 27.8 Å³/atom

a = 7.659 Å, b = 7.659 Å, c = 10.583 Å
α = 90.00°, β = 90.00°, γ = 147.52°
Sites, in units of the cell vectors:
Se 0.082 0.918 0.750
Se 0.918 0.082 0.250
Te 0.647 0.353 0.049
Te 0.353 0.647 0.549
Te 0.647 0.353 0.451
Te 0.353 0.647 0.951
Ag 0.526 0.474 0.250
Ag 0.474 0.526 0.750
Tm 0.000 0.000 0.500
Tm 0.000 0.000 0.000
Pb 0.746 0.254 0.750
Pb 0.254 0.746 0.250

=====

Record 8
# Pr2Tm2O5

An optimized crystal structure of Pr2Tm2O5 (PBE-GGA, the Open Quantum Materials Database).

Computed properties:
mass density: 8.27 g cm⁻³
DFT total energy: -7.663 eV per atom
V: 15.6 Å³/atom

a = 7.717 Å, b = 4.268 Å, c = 4.268 Å
α = 90.00°, β = 90.00°, γ = 90.00°
Sites, in units of the cell vectors:
Tm 0.231 0.500 0.500
Tm 0.769 0.500 0.500
Pr 0.500 0.000 0.000
Pr 0.000 0.000 0.000
O 0.242 0.500 0.000
O 0.500 0.500 0.500
O 0.757 0.000 0.500
O 0.757 0.500 0.000
O 0.242 0.000 0.500

=====

Record 9
# Y3Er3NiTe2

An optimized crystal structure of Y3Er3NiTe2 (PBE-GGA, the Open Quantum Materials Database).

Computed properties:
mass density: 7.61 g cm⁻³
DFT total energy: -5.676 eV per atom
V: 26.2 Å³/atom

a = 8.387 Å, b = 8.387 Å, c = 3.875 Å
α = 90.00°, β = 90.00°, γ = 120.00°
Site moments in Bohr magnetons follow the coordinates.
Sites, in units of the cell vectors:
Y 0.000 0.759 0.500  0.07
Y 0.241 0.241 0.500  0.08
Y 0.759 0.000 0.500  0.07
Te 0.333 0.667 0.500  -0.01
Te 0.667 0.333 0.500  -0.01
Er 0.000 0.402 0.000  0.10
Er 0.598 0.598 0.000  0.13
Er 0.402 0.000 0.000  0.12
Ni 0.000 0.000 0.000  0.04

=====

Record 10
# PaNiN2

An optimized crystal structure of PaNiN2 (PBE-GGA, the Open Quantum Materials Database).

Computed properties:
mass density: 9.55 g cm⁻³
DFT total energy: -8.948 eV per atom
V: 13.8 Å³/atom

a = 6.373 Å, b = 5.929 Å, c = 6.961 Å
α = 90.00°, β = 122.87°, γ = 90.00°
Site moments in Bohr magnetons follow the coordinates.
Sites, in units of the cell vectors:
Pa 0.278 0.851 0.543  0.05
Pa 0.278 0.649 0.043  0.05
Pa 0.722 0.351 0.957  0.05
Pa 0.722 0.149 0.457  0.05
N 0.056 0.596 0.222  0.04
N 0.486 0.323 0.121  0.01
N 0.944 0.404 0.778  0.04
N 0.514 0.677 0.879  0.01
N 0.486 0.177 0.621  0.01
N 0.514 0.823 0.379  0.01
N 0.056 0.904 0.722  0.04
N 0.944 0.096 0.278  0.04
Ni 0.197 0.332 0.396  0.26
Ni 0.197 0.168 0.896  0.27
Ni 0.803 0.832 0.104  0.27
Ni 0.803 0.668 0.604  0.26

=====

Record 11
# Sc2CuS3

An optimized crystal structure of Sc2CuS3 (PBE-GGA, the Open Quantum Materials Database).

Computed properties:
mass density: 3.99 g cm⁻³
DFT total energy: -6.187 eV per atom
V: 17.3 Å³/atom

a = 9.616 Å, b = 3.563 Å, c = 12.140 Å
α = 90.00°, β = 90.00°, γ = 90.00°
Sites, in units of the cell vectors:
S 0.267 0.750 0.854
S 0.598 0.250 0.897
S 0.049 0.750 0.108
S 0.549 0.750 0.392
S 0.233 0.250 0.354
S 0.951 0.250 0.892
S 0.098 0.250 0.603
S 0.733 0.250 0.146
S 0.451 0.250 0.608
S 0.767 0.750 0.646
S 0.902 0.750 0.397
S 0.402 0.750 0.103
Sc 0.222 0.250 0.020
Sc 0.980 0.250 0.254
Sc 0.520 0.750 0.754
Sc 0.778 0.750 0.980
Sc 0.480 0.250 0.246
Sc 0.722 0.250 0.480
Sc 0.278 0.750 0.520
Sc 0.020 0.750 0.746
Cu 0.269 0.250 0.732
Cu 0.231 0.750 0.232
Cu 0.731 0.750 0.268
Cu 0.769 0.250 0.768

=====

Record 12
# LiGaFeHg

An optimized crystal structure of LiGaFeHg (PBE-GGA, the Open Quantum Materials Database).

Computed properties:
mass density: 8.97 g cm⁻³
DFT total energy: -3.363 eV per atom
V: 15.4 Å³/atom

a = 4.434 Å, b = 4.434 Å, c = 4.434 Å
α = 60.00°, β = 60.00°, γ = 60.00°
Sites, in units of the cell vectors:
Fe 0.750 0.750 0.750
Hg 0.500 0.500 0.500
Li 0.250 0.250 0.250
Ga 0.000 0.000 0.000

=====

Question: Which of these has the lowest DFT total energy?
Answer: PaNiN2